Entry 1:
Here is a relaxed LaSbTe2As crystal from Alexandria. Energies are from GGA-PBE.

Cell: 5.518 5.518 5.246 Å, 90.00 90.00 90.00°
Space group P4/mmm (No. 123)
Inequivalent atoms, fractional coordinates:
La 0.000 0.000 0.000
Sb 0.500 0.500 0.000
Te 0.000 0.500 0.500
As 0.500 0.500 0.500

Summary:
E above lowest polymorph = 0 meV per atom
uncorrected formation energy = -266.6 meV/atom



Entry 2:
Here is a relaxed La8SbTe4As3 crystal from Alexandria. Energies are from GGA-PBE.

Cell: 8.9711 8.9711 22.3845 Å, 90.00 90.00 120.00°
Space group R-3m (No. 166, hexagonal axes)
Inequivalent atoms, fractional coordinates:
La 0.0000 0.0000 0.2410
La 0.0095 0.5047 0.7569
Sb 0.0000 0.0000 0.5000
Te 0.0000 0.0000 0.0000
Te 0.0000 0.5000 0.0000
As 0.0000 0.5000 0.5000

Summary:
uncorrected formation energy = -1596.9 meV/atom



Entry 3:
Here is a relaxed La6Sb2Te3As crystal from Alexandria. Energies are from GGA-PBE.

Cell: 19.944 4.551 9.158 Å, 90.00 103.62 90.00°
Space group C2/m (No. 12)
Inequivalent atoms, fractional coordinates:
La 0.000 0.000 0.230
La 0.158 0.500 0.083
La 0.168 0.500 0.579
Sb 0.166 0.000 0.333
Te 0.000 0.500 0.500
Te 0.169 0.000 0.835
As 0.000 0.500 0.000

Summary:
uncorrected formation energy = -1526.9 meV/atom



Entry 4:
Here is a relaxed LaSbTe2As crystal from Alexandria. Energies are from GGA-PBE.

Cell: 6.095 6.095 6.343 Å, 90.00 90.00 90.00°
Space group P4/mmm (No. 123)
Inequivalent atoms, fractional coordinates:
La 0.000 0.000 0.000
Sb 0.000 0.000 0.500
Te 0.000 0.500 0.000
As 0.500 0.500 0.500

Summary:
E above lowest polymorph = 758 meV per atom
uncorrected formation energy = 491.4 meV/atom



Entry 5:
Here is a relaxed La8Sb3Te4As crystal from Alexandria. Energies are from GGA-PBE.

Cell: 9.1431 9.1431 22.4778 Å, 90.00 90.00 120.00°
Space group R-3m (No. 166, hexagonal axes)
Inequivalent atoms, fractional coordinates:
La 0.0000 0.0000 0.2475
La 0.0099 0.5050 0.2451
Sb 0.0000 0.5000 0.5000
Te 0.0000 0.0000 0.0000
Te 0.0000 0.5000 0.0000
As 0.0000 0.0000 0.5000

Summary:
uncorrected formation energy = -1510.9 meV/atom



Entry 6:
Here is a relaxed LaSb2TeAs crystal from Alexandria. Energies are from GGA-PBE.

Cell: 6.171 6.171 6.026 Å, 90.00 90.00 90.00°
Space group P4/mmm (No. 123)
Inequivalent atoms, fractional coordinates:
La 0.000 0.000 0.000
Sb 0.000 0.500 0.000
Te 0.000 0.000 0.500
As 0.500 0.500 0.500

Summary:
E above lowest polymorph = 832 meV per atom
uncorrected formation energy = 708.2 meV/atom



Entry 7:
Here is a relaxed LaThSbAs crystal from Alexandria. Energies are from GGA-PBE.

Cell: 5.1659 5.1659 34.3184 Å, 90.00 90.00 120.00°
Space group R-3m (No. 166, hexagonal axes)
Inequivalent atoms, fractional coordinates:
La 0.0000 0.0000 0.2047
Th 0.0000 0.0000 0.3794
Sb 0.0000 0.0000 0.1029
As 0.0000 0.0000 0.2960

Summary:
uncorrected formation energy = -934.4 meV/atom



Entry 8:
Here is a relaxed LaTmSbAs crystal from Alexandria. Energies are from GGA-PBE.

Cell: 4.3447 4.3447 21.3717 Å, 90.00 90.00 120.00°
Space group R3m (No. 160, hexagonal axes)
Inequivalent atoms, fractional coordinates:
La 0.0000 0.0000 0.0000
Tm 0.0000 0.0000 0.4891
Sb 0.0000 0.0000 0.2385
As 0.0000 0.0000 0.7496

Summary:
uncorrected formation energy = -1328.6 meV/atom



Number 1: calculated total energy -4.263 eV/atom. Number 2: calculated total energy -5.975 eV/atom. Number 3: calculated total energy -5.851 eV/atom. Number 4: calculated total energy -3.505 eV/atom. Number 5: calculated total energy -5.824 eV/atom. Number 6: calculated total energy -3.484 eV/atom. Number 7: calculated total energy -6.214 eV/atom. Number 8: calculated total energy -5.871 eV/atom.